## w
The following is a PBE calculation of an optimized crystal structure of Te2MoW2Se4, from Alexandria.

a b c (Å): 3.393 3.393 22.377
angles (deg): 90.00 90.00 120.00
Fractional positions:
Te 0.000 0.000 0.000
Te 0.000 0.000 0.168
Mo 0.333 0.667 0.084
W 0.000 0.000 0.413
W 0.333 0.667 0.727
Se 0.000 0.000 0.653
Se 0.000 0.000 0.801
Se 0.333 0.667 0.339
Se 0.333 0.667 0.487

- spin magnetization (μB/f.u.) = 0.00

=====

## x
The following is a PBE calculation of an optimized crystal structure of Te2MoW2Se4, from Alexandria.

a b c (Å): 3.397 3.397 22.183
angles (deg): 90.00 90.00 120.00
Fractional positions:
Te 0.000 0.000 0.000
Te 0.000 0.000 0.170
Mo 0.000 0.000 0.758
W 0.000 0.000 0.416
W 0.333 0.667 0.085
Se 0.333 0.667 0.341
Se 0.333 0.667 0.490
Se 0.333 0.667 0.684
Se 0.333 0.667 0.832

- spin magnetization (μB/f.u.) = 0.00

=====

Short version: w is the most stable of them.

=====

## w
The following is a PBE calculation of an optimized crystal structure of Ti3MoSe, from Alexandria.

a b c (Å): 5.505 5.505 8.050
angles (deg): 109.88 109.88 51.54
Fractional positions:
Ti 0.080 0.080 0.346
Ti 0.358 0.358 0.866
Ti 0.363 0.363 0.232
Ti 0.637 0.637 0.768
Ti 0.642 0.642 0.134
Ti 0.920 0.920 0.654
Mo 0.124 0.124 0.961
Mo 0.876 0.876 0.039
Se 0.360 0.360 0.554
Se 0.640 0.640 0.446

- spin magnetization (μB/f.u.) = 0.00

=====

## x
The following is a PBE calculation of an optimized crystal structure of Ti3MoSe, from Alexandria.

a b c (Å): 4.590 4.590 4.590
angles (deg): 90.00 90.00 90.00
Fractional positions:
Ti 0.000 0.000 0.500
Ti 0.000 0.500 0.000
Ti 0.500 0.000 0.000
Mo 0.500 0.500 0.500
Se 0.000 0.000 0.000

- spin magnetization (μB/f.u.) = 0.00

=====

Short version: w is the most stable of them.